GaH2Os GGA-PBEsol relaxed; uncorrected energy = -74.65 eV/cell; SG = Fm-3m (225)
1.0
5.195 0.000 0.000
0.000 5.195 0.000
0.000 0.000 5.195
Ga H Os
4 8 4
Direct
0.000 0.000 0.000 Ga
0.000 0.500 0.500 Ga
0.500 0.000 0.500 Ga
0.500 0.500 0.000 Ga
0.250 0.250 0.250 H
0.250 0.250 0.750 H
0.250 0.750 0.250 H
0.250 0.750 0.750 H
0.750 0.250 0.250 H
0.750 0.250 0.750 H
0.750 0.750 0.250 H
0.750 0.750 0.750 H
0.000 0.000 0.500 Os
0.000 0.500 0.000 Os
0.500 0.000 0.000 Os
0.500 0.500 0.500 Os